(1)
! MgAg PBE optimized geometry; values from VASP
&SYSTEM
  ibrav = 0, nat = 8, ntyp = 2
/
ATOMIC_SPECIES
Mg 24.30 Mg.upf
Ag 107.87 Ag.upf
CELL_PARAMETERS angstrom
-2.408 2.846 -3.064
-1.742 -0.796 4.430
4.068 6.401 2.749
ATOMIC_POSITIONS angstrom
Mg 0.865 6.433 1.496
Mg 1.017 1.600 0.687
Mg 3.051 4.801 2.062
Mg -0.947 2.018 2.619
Ag -1.853 2.156 -0.341
Ag -0.485 4.310 0.584
Ag 0.403 4.142 3.531
Ag 1.771 6.296 4.456
! SG: P6_3/mmc, No. 194
! M_tot (μB/cell): 0.00
! V (Å³/atom): 20.34
! Formation energy (eV per atom): 0.0221

(2)
! MgRuPt2 PBE optimized geometry; values from VASP
&SYSTEM
  ibrav = 0, nat = 4, ntyp = 3
/
ATOMIC_SPECIES
Mg 24.30 Mg.upf
Pt 195.08 Pt.upf
Ru 101.07 Ru.upf
CELL_PARAMETERS angstrom
3.965 0.000 0.000
0.000 2.783 0.003
0.000 2.765 5.543
ATOMIC_POSITIONS angstrom
Mg 1.982 4.161 4.160
Pt 0.000 2.777 2.738
Pt 0.000 2.780 0.038
Ru 1.982 1.387 1.387
! SG: P2/m, No. 10
! M_tot (μB/cell): 0.00
! V (Å³/atom): 15.28
! Formation energy (eV per atom): -0.3116

(3)
! Ac3In3Ag PBE optimized geometry; values from VASP
&SYSTEM
  ibrav = 0, nat = 14, ntyp = 3
/
ATOMIC_SPECIES
Ac 227.00 Ac.upf
In 114.82 In.upf
Ag 107.87 Ag.upf
CELL_PARAMETERS angstrom
-4.173 0.035 2.787
-1.610 -5.892 2.180
6.421 2.210 14.107
ATOMIC_POSITIONS angstrom
Ac -3.169 -4.041 4.341
Ac 0.004 -1.000 4.536
Ac 1.195 -0.348 10.830
Ac 3.807 0.394 14.733
Ac 0.634 -2.647 14.537
Ac -0.556 -3.299 8.244
In -1.295 -3.033 11.653
In -3.449 -0.667 3.879
In 1.933 -0.614 7.421
In 4.518 0.733 11.275
In 4.087 -2.980 15.194
In -3.880 -4.380 7.798
Ag 1.424 -3.901 11.217
Ag -0.786 0.254 7.857
! SG: C2/m, No. 12
! M_tot (μB/cell): 0.00
! V (Å³/atom): 33.12
! Formation energy (eV per atom): -0.4104

(4)
! RhW2Cl PBE optimized geometry; values from VASP
&SYSTEM
  ibrav = 0, nat = 4, ntyp = 3
/
ATOMIC_SPECIES
W 183.84 W.upf
Cl 35.45 Cl.upf
Rh 102.91 Rh.upf
CELL_PARAMETERS angstrom
3.663 0.042 2.473
2.117 3.807 0.749
-0.075 1.814 4.030
ATOMIC_POSITIONS angstrom
W 4.279 4.248 5.439
W 1.426 1.416 1.813
Cl 0.000 0.000 0.000
Rh 2.852 2.832 3.626
! SG: Fm-3m, No. 225
! M_tot (μB/cell): 0.00
! V (Å³/atom): 15.26
! Offset from the most stable computed form (meV/atom): 602
! Formation energy from raw total energies (eV per atom): 0.7837

(5)
! Ho3Ag8 PBE optimized geometry; values from VASP
&SYSTEM
  ibrav = 0, nat = 11, ntyp = 2
/
ATOMIC_SPECIES
Ag 107.87 Ag.upf
Ho 164.93 Ho.upf
CELL_PARAMETERS angstrom
4.157 0.000 0.000
-2.079 4.752 -1.044
0.000 -0.431 11.629
ATOMIC_POSITIONS angstrom
Ag 2.079 0.173 9.473
Ag 2.079 2.109 0.604
Ag 2.079 1.068 5.031
Ag 0.000 1.440 2.776
Ag 0.000 3.252 5.553
Ag 0.000 4.147 1.112
Ag 0.000 2.212 9.981
Ag 2.079 2.881 7.808
Ho 2.079 3.586 3.305
Ho 0.000 0.735 7.280
Ho 0.000 0.000 0.000
! SG: C2/m, No. 12
! M_tot (μB/cell): 0.00
! V (Å³/atom): 20.72
! Formation energy (eV per atom): -0.2273

(6)
! ScZn2Ru PBE optimized geometry; values from VASP
&SYSTEM
  ibrav = 0, nat = 4, ntyp = 3
/
ATOMIC_SPECIES
Sc 44.96 Sc.upf
Zn 65.41 Zn.upf
Ru 101.07 Ru.upf
CELL_PARAMETERS angstrom
4.144 0.000 0.000
0.000 3.009 0.011
0.000 0.797 5.116
ATOMIC_POSITIONS angstrom
Sc 2.072 2.792 3.881
Zn 0.000 0.475 0.013
Zn 2.072 0.571 1.361
Ru 0.000 1.871 2.436
! SG: Pm, No. 6
! M_tot (μB/cell): 0.00
! V (Å³/atom): 15.94
! Formation energy (eV per atom): -0.1947

(7)
! Li6MgHg5 PBE optimized geometry; values from VASP
&SYSTEM
  ibrav = 0, nat = 12, ntyp = 3
/
ATOMIC_SPECIES
Li 6.94 Li.upf
Mg 24.30 Mg.upf
Hg 200.59 Hg.upf
CELL_PARAMETERS angstrom
4.548 -0.008 -1.277
-3.420 6.587 -3.462
-0.178 -1.003 8.126
ATOMIC_POSITIONS angstrom
Li -1.585 4.066 3.106
Li -0.317 2.776 -1.134
Li 0.139 5.443 0.486
Li 1.267 2.800 4.520
Li 2.535 1.510 0.280
Li 0.812 0.133 2.901
Mg 0.000 0.000 0.000
Hg 0.475 2.788 1.693
Hg -0.655 5.435 -2.347
Hg -1.250 1.506 4.295
Hg -2.348 4.078 0.369
Hg 1.606 0.142 5.734
! SG: C2/m, No. 12
! M_tot (μB/cell): 0.00
! V (Å³/atom): 18.46
! Formation energy (eV per atom): -0.3363

(8)
! LiErSn2S4 PBE optimized geometry; values from VASP
&SYSTEM
  ibrav = 0, nat = 8, ntyp = 4
/
ATOMIC_SPECIES
S 32.06 S.upf
Sn 118.71 Sn.upf
Er 167.26 Er.upf
Li 6.94 Li.upf
CELL_PARAMETERS angstrom
3.996 0.000 0.000
0.000 7.046 -0.246
0.000 2.379 6.386
ATOMIC_POSITIONS angstrom
S 1.998 5.729 1.475
S 1.998 3.696 4.666
S 3.996 2.491 1.522
S 0.000 6.934 4.618
Sn 1.998 1.190 3.193
Sn 0.000 2.379 6.386
Er 0.000 4.713 3.070
Li 1.998 5.902 6.263
! SG: P2/m, No. 10
! M_tot (μB/cell): 0.00
! V (Å³/atom): 22.77
! Formation energy from raw total energies (eV per atom): -1.0592

(9)
! Pm6SiSe12 PBE optimized geometry; values from VASP
&SYSTEM
  ibrav = 0, nat = 19, ntyp = 3
/
ATOMIC_SPECIES
Se 78.96 Se.upf
Pm 145.00 Pm.upf
Si 28.09 Si.upf
CELL_PARAMETERS angstrom
8.219 -0.011 -0.013
-1.257 8.123 -0.013
-1.257 -1.465 7.990
ATOMIC_POSITIONS angstrom
Se 7.604 2.389 0.419
Se -1.167 7.514 2.426
Se 5.491 3.915 3.365
Se 4.497 7.642 0.137
Se 1.749 5.823 4.454
Se 6.872 -0.867 5.538
Se 3.956 0.824 3.509
Se 0.215 2.732 4.598
Se 3.038 2.235 6.525
Se -1.899 4.258 7.544
Se 1.209 -0.995 7.827
Se 2.668 4.412 1.438
Pm 4.681 2.192 1.039
Pm 1.457 0.137 5.065
Pm 4.248 6.511 2.898
Pm -0.086 4.722 2.343
Pm 5.791 1.925 5.620
Pm 1.025 4.455 6.924
Si 0.000 0.000 0.000
! SG: R-3, No. 148
! M_tot (μB/cell): 0.00
! V (Å³/atom): 28.05
! Formation energy from raw total energies (eV per atom): -1.4452